A geometry-optimized NaInBr2 structure, computed with GGA-PBE.

For the formation energy (no corrections), the calculation gives -1.03 eV/atom. The value obtained for the total DFT energy (no corrections) is -2.8801 eV per atom. As for the space group: I-42d. The total magnetization comes out at 0.00 μB per formula unit. The value obtained for the energy above the most stable polymorph in this dataset is 60 meV per atom.

```
NaInBr2
1.0
7.1013 0.0000 0.0000
0.0000 7.1013 0.0000
3.5507 3.5507 6.8225
Br Na In
4 2 2
Cartesian
5.0392 1.7753 1.7056
5.3260 5.6127 5.1169
8.8766 8.5899 5.1169
2.0621 5.3260 1.7056
3.5507 7.1013 3.4112
3.5507 3.5507 0.0000
7.1013 3.5507 3.4112
0.0000 0.0000 0.0000
```